Record 1
{"formula": "Hf2RePSe", "functional": "PBE", "state": "relaxed", "cell": [[-0.8894, 1.1814, -4.6857], [-4.0187, -1.4641, 0.3937], [-1.4890, 4.4656, 1.4085]], "species": ["Se", "Hf", "Hf", "P", "Re"], "frac_coords": [[0.5000, 0.5000, 0.5000], [0.5000, 0.0000, 0.0000], [0.0000, 0.0000, 0.5000], [0.0000, 0.0000, 0.0000], [0.0000, 0.5000, 0.0000]], "spacegroup": "P4/mmm, No. 123", "raw_formation_energy_mev_per_atom": 204.6}


Record 2
{"formula": "KBaHg14", "functional": "PBE", "state": "relaxed", "cell": [[-7.7846, -1.1902, -7.6947], [-2.5872, -10.0666, -3.7027], [-10.4094, -2.1201, 2.9817]], "species": ["Hg", "Hg", "Hg", "Hg", "Hg", "Hg", "Hg", "Hg", "Hg", "Hg", "Hg", "Hg", "Hg", "Hg", "Hg", "Hg", "Hg", "Hg", "Hg", "Hg", "Hg", "Hg", "Hg", "Hg", "Hg", "Hg", "Hg", "Hg", "Ba", "Ba", "K", "K"], "frac_coords": [[0.6027, 0.6429, 0.6218], [0.1850, 0.6402, 0.2921], [0.1173, 0.3598, 0.7079], [0.1410, 0.2398, 0.4782], [0.3663, 0.5072, 0.7603], [0.6410, 0.9782, 0.7398], [0.6337, 0.4928, 0.2397], [0.6326, 0.1218, 0.1429], [0.8590, 0.7602, 0.5218], [0.1027, 0.1218, 0.1429], [0.8674, 0.3571, 0.3782], [0.3150, 0.2079, 0.8598], [0.8973, 0.8782, 0.8571], [0.3674, 0.8782, 0.8571], [0.3590, 0.0218, 0.2602], [0.8930, 0.9734, 0.2406], [0.1070, 0.0266, 0.7594], [0.6070, 0.2594, 0.5266], [0.3973, 0.3571, 0.3782], [0.6173, 0.2079, 0.8598], [0.8150, 0.3598, 0.7079], [0.8827, 0.6402, 0.2921], [0.8663, 0.2603, 0.0072], [0.3827, 0.7921, 0.1402], [0.6850, 0.7921, 0.1402], [0.1337, 0.7397, 0.9928], [0.3930, 0.7406, 0.4734], [0.1326, 0.6429, 0.6218], [0.2500, 0.3752, 0.1248], [0.7500, 0.6248, 0.8752], [0.0000, 0.0000, 0.5000], [0.5000, 0.0000, 0.5000]], "spacegroup": "Imma, No. 74", "total_energy_ev_per_atom": -0.61}


Record 3
{"formula": "LaTi3N", "functional": "PBE", "state": "relaxed", "cell": [[-3.3683, -3.1756, 0.9303], [1.8840, -2.9317, -3.1860], [2.7204, -1.9016, 3.3584]], "species": ["Ti", "Ti", "Ti", "La", "N"], "frac_coords": [[0.0000, 0.5000, 0.0000], [0.5000, 0.0000, 0.0000], [0.0000, 0.0000, 0.5000], [0.0000, 0.0000, 0.0000], [0.5000, 0.5000, 0.5000]], "de_polymorph_mev_per_atom": 2601, "spacegroup": "Pm-3m, No. 221", "raw_formation_energy_mev_per_atom": 2253.6}


Record 4
{"formula": "DyIn2Ni2", "functional": "PBE", "state": "relaxed", "cell": [[-0.8765, 4.2862, -1.0586], [-5.0026, -0.9512, 0.2905], [2.4279, 2.4914, 8.0775]], "species": ["In", "In", "In", "In", "Ni", "Ni", "Ni", "Ni", "Dy", "Dy"], "frac_coords": [[0.7500, 0.6469, 0.4684], [0.2500, 0.7912, 0.8720], [0.7500, 0.2088, 0.1280], [0.2500, 0.3531, 0.5316], [0.2500, 0.3439, 0.9720], [0.2500, 0.8958, 0.5920], [0.7500, 0.6561, 0.0280], [0.7500, 0.1042, 0.4080], [0.7500, 0.2091, 0.7653], [0.2500, 0.7909, 0.2347]], "spacegroup": "P2_1/m, No. 11", "total_energy_ev_per_atom": -4.67}


Record 5
{"formula": "Pu2SeS2", "functional": "PBE", "state": "relaxed", "cell": [[-2.8804, 2.8586, 0.5987], [-2.9216, -3.5252, 2.7757], [5.8458, 2.1643, 3.7378]], "species": ["Pu", "Pu", "S", "S", "Se"], "frac_coords": [[0.6605, 0.1605, 0.3209], [0.3395, 0.8395, 0.6791], [0.3002, 0.3002, 0.6004], [0.6998, 0.6998, 0.3996], [0.0000, 0.0000, 0.0000]], "de_polymorph_mev_per_atom": 0, "spacegroup": "Immm, No. 71", "raw_formation_energy_mev_per_atom": -1628.9}


Record 6
{"formula": "YNi3Bi", "functional": "PBE", "state": "relaxed", "cell": [[-2.2442, -2.6470, -3.2794], [0.6989, -3.8977, 2.6678], [-4.1561, 0.7739, 2.2194]], "species": ["Y", "Bi", "Ni", "Ni", "Ni"], "frac_coords": [[0.0000, 0.0000, 0.0000], [0.5000, 0.5000, 0.5000], [0.0000, 0.5000, 0.0000], [0.0000, 0.0000, 0.5000], [0.5000, 0.0000, 0.0000]], "de_polymorph_mev_per_atom": 527, "spacegroup": "Pm-3m, No. 221"}


Record 7
{"formula": "RbOsCl5", "functional": "PBE", "state": "relaxed", "cell": [[7.6364, 1.1095, 1.5949], [2.8041, 7.1891, 1.5949], [0.8345, 0.6633, 9.0582]], "species": ["Cl", "Cl", "Cl", "Cl", "Cl", "Cl", "Cl", "Cl", "Cl", "Cl", "Rb", "Rb", "Os", "Os"], "frac_coords": [[0.0834, 0.6622, 0.0290], [0.9237, 0.3360, 0.3957], [0.9166, 0.3378, 0.9710], [0.9062, 0.0938, 0.7500], [0.3360, 0.9237, 0.8957], [0.3378, 0.9166, 0.4710], [0.6640, 0.0763, 0.1043], [0.0763, 0.6640, 0.6043], [0.6622, 0.0834, 0.5290], [0.0938, 0.9062, 0.2500], [0.5142, 0.4858, 0.2500], [0.4858, 0.5142, 0.7500], [0.0000, 0.0000, 0.0000], [0.0000, 0.0000, 0.5000]], "spacegroup": "C2/c, No. 15", "raw_formation_energy_mev_per_atom": -813.5}


Record 8
{"formula": "Li7Cd2Rh2", "functional": "PBE", "state": "relaxed", "cell": [[-5.7101, 3.7855, 0.8502], [-3.0951, -3.7713, 1.9368], [1.3509, 2.3620, 4.4888]], "species": ["Li", "Li", "Li", "Li", "Li", "Li", "Li", "Cd", "Cd", "Rh", "Rh"], "frac_coords": [[0.1724, 0.4862, 0.0924], [0.6007, 0.1532, 0.1532], [0.0000, 0.0000, 0.0000], [0.3993, 0.8468, 0.8468], [0.8276, 0.5138, 0.9076], [0.1724, 0.0924, 0.4862], [0.8276, 0.9076, 0.5138], [0.5000, 0.6902, 0.3098], [0.5000, 0.3098, 0.6902], [0.8514, 0.4027, 0.4027], [0.1486, 0.5973, 0.5973]], "spacegroup": "C2/m, No. 12", "total_energy_ev_per_atom": -2.86}


Record 9
{"formula": "Na3Np2TlTe6", "functional": "PBE", "state": "relaxed", "cell": [[-7.4987, -2.6526, 0.3286], [5.5656, -4.2322, -3.8063], [2.1981, -1.2341, 7.4162]], "species": ["Te", "Te", "Te", "Te", "Te", "Te", "Na", "Na", "Na", "Tl", "Np", "Np"], "frac_coords": [[0.7168, 0.7168, 0.2347], [0.9203, 0.5568, 0.7656], [0.5568, 0.9203, 0.7656], [0.2832, 0.2832, 0.7653], [0.0797, 0.4432, 0.2344], [0.4432, 0.0797, 0.2344], [0.5000, 0.5000, 0.5000], [0.8452, 0.1548, 0.5000], [0.1548, 0.8452, 0.5000], [0.0000, 0.0000, 0.0000], [0.3323, 0.6677, 0.0000], [0.6677, 0.3323, 0.0000]], "spacegroup": "C2/m, No. 12", "raw_formation_energy_mev_per_atom": -724.5}


Record 10
{"formula": "Pm2ZnIr2Rh5", "functional": "PBE", "state": "relaxed", "cell": [[-3.7867, 0.1448, 1.0994], [1.8094, -6.1319, 7.0395], [1.9669, 7.2600, 5.8183]], "species": ["Rh", "Rh", "Rh", "Rh", "Rh", "Rh", "Rh", "Rh", "Rh", "Rh", "Ir", "Ir", "Ir", "Ir", "Pm", "Pm", "Pm", "Pm", "Zn", "Zn"], "frac_coords": [[0.5000, 0.0647, 0.8036], [0.5000, 0.4353, 0.3036], [0.5000, 0.3036, 0.5647], [0.5000, 0.5647, 0.6964], [0.5000, 0.0000, 0.5000], [0.5000, 0.5000, 0.0000], [0.5000, 0.9353, 0.1964], [0.5000, 0.1964, 0.0647], [0.5000, 0.8036, 0.9353], [0.5000, 0.6964, 0.4353], [0.0000, 0.1324, 0.6324], [0.0000, 0.3676, 0.1324], [0.0000, 0.8676, 0.3676], [0.0000, 0.6324, 0.8676], [0.0000, 0.3329, 0.8329], [0.0000, 0.6671, 0.1671], [0.0000, 0.1671, 0.3329], [0.0000, 0.8329, 0.6671], [0.0000, 0.5000, 0.5000], [0.0000, 0.0000, 0.0000]], "spacegroup": "P4/mbm, No. 127", "total_energy_ev_per_atom": -6.83}


Record 11
{"formula": "KSbPbI6", "functional": "PBE", "state": "relaxed", "cell": [[-8.0516, 0.4811, -0.8859], [4.5953, -2.7506, -6.0961], [-1.4558, -14.4119, 5.4054]], "species": ["I", "I", "I", "I", "I", "I", "I", "I", "I", "I", "I", "I", "Pb", "Pb", "Sb", "Sb", "K", "K"], "frac_coords": [[0.3764, 0.0192, 0.1323], [0.3764, 0.3572, 0.3677], [0.9808, 0.3572, 0.1323], [0.3572, 0.9808, 0.6323], [0.6428, 0.0192, 0.3677], [0.9808, 0.6236, 0.3677], [0.0192, 0.3764, 0.6323], [0.6428, 0.6236, 0.1323], [0.6236, 0.6428, 0.6323], [0.3572, 0.3764, 0.8677], [0.6236, 0.9808, 0.8677], [0.0192, 0.6428, 0.8677], [0.3333, 0.6667, 0.2500], [0.6667, 0.3333, 0.7500], [0.3333, 0.6667, 0.7500], [0.6667, 0.3333, 0.2500], [0.0000, 0.0000, 0.0000], [0.0000, 0.0000, 0.5000]], "spacegroup": "P-31c, No. 163", "raw_formation_energy_mev_per_atom": -684.0}


Record 12
{"formula": "MnSi2Sb", "functional": "PBE", "state": "relaxed", "cell": [[5.4122, 0.4946, -0.2113], [2.1881, 4.9748, 0.2113], [-3.2805, -3.4567, 2.6211]], "species": ["Mn", "Si", "Si", "Sb"], "frac_coords": [[0.7500, 0.2500, 0.5000], [0.9772, 0.9772, 0.0000], [0.5228, 0.5228, 0.0000], [0.2500, 0.7500, 0.5000]], "spacegroup": "Immm, No. 71", "raw_formation_energy_mev_per_atom": 459.7}


Record 13
{"formula": "AsRh", "functional": "PBE", "state": "relaxed", "cell": [[-2.7129, -3.7354, -3.3422], [0.3910, -4.7080, -3.1883], [-1.2789, -3.4139, 4.2152]], "species": ["As", "As", "As", "Rh", "Rh", "Rh"], "frac_coords": [[0.3674, 0.3674, 0.3214], [0.6516, 0.6516, 0.2130], [0.6147, 0.6147, 0.6992], [0.9363, 0.9363, 0.6034], [0.0012, 0.0012, 0.0726], [0.2622, 0.2622, 0.9238]], "spacegroup": "Cm, No. 8", "total_energy_ev_per_atom": -6.16}


Record 14
{"formula": "CsRbI2", "functional": "PBE", "state": "relaxed", "cell": [[-0.1787, 2.0528, 4.0706], [-0.9078, -4.0081, 1.9815], [8.9707, -1.4704, 1.1353]], "species": ["I", "I", "Rb", "Cs"], "frac_coords": [[0.0000, 0.0000, 0.2414], [0.0000, 0.0000, 0.7586], [0.5000, 0.5000, 0.0000], [0.5000, 0.5000, 0.5000]], "de_polymorph_mev_per_atom": 40, "spacegroup": "P4/mmm, No. 123", "raw_formation_energy_mev_per_atom": -1482.6}


Record 15
{"formula": "CuBi12Ir3", "functional": "PBE", "state": "relaxed", "cell": [[-1.2506, 3.2521, 2.4493], [-8.6385, -1.7872, -2.0379], [-0.5144, -7.1692, 9.2563]], "species": ["Bi", "Bi", "Bi", "Bi", "Bi", "Bi", "Bi", "Bi", "Bi", "Bi", "Bi", "Bi", "Cu", "Ir", "Ir", "Ir"], "frac_coords": [[0.0000, 0.5850, 0.8182], [0.0000, 0.6905, 0.1202], [0.0000, 0.2144, 0.3945], [0.5000, 0.8913, 0.9119], [0.5000, 0.2832, 0.8852], [0.0000, 0.1060, 0.0837], [0.0000, 0.6150, 0.3983], [0.5000, 0.9172, 0.3198], [0.5000, 0.3895, 0.1774], [0.0000, 0.0926, 0.6812], [0.5000, 0.3997, 0.6066], [0.5000, 0.8002, 0.6084], [0.5000, 0.5928, 0.9793], [0.0000, 0.4071, 0.0150], [0.5000, 0.1090, 0.5233], [0.0000, 0.9064, 0.4771]], "spacegroup": "Pm, No. 6", "total_energy_ev_per_atom": -4.82}


Record 16
{"formula": "Nb3CdBr", "functional": "PBE", "state": "relaxed", "cell": [[4.7792, 0.0000, 0.0000], [0.0000, 4.7792, 0.0000], [0.0000, 0.0000, 4.7792]], "species": ["Cd", "Nb", "Nb", "Nb", "Br"], "frac_coords": [[0.5000, 0.5000, 0.5000], [0.0000, 0.5000, 0.0000], [0.5000, 0.0000, 0.0000], [0.0000, 0.0000, 0.5000], [0.0000, 0.0000, 0.0000]], "de_polymorph_mev_per_atom": 0, "spacegroup": "Pm-3m, No. 221", "raw_formation_energy_mev_per_atom": 1039.2}


Record 17
{"formula": "SiPtRh2", "functional": "PBE", "state": "relaxed", "cell": [[3.7948, 0.0000, 0.0000], [0.0000, 3.8478, 0.0000], [0.0000, 0.0000, 3.8478]], "species": ["Pt", "Rh", "Rh", "Si"], "frac_coords": [[0.5000, 0.0000, 0.5000], [0.0000, 0.0000, 0.0000], [0.0000, 0.5000, 0.5000], [0.5000, 0.5000, 0.0000]], "spacegroup": "P4/mmm, No. 123", "raw_formation_energy_mev_per_atom": -393.4}


Record 18
{"formula": "TlZnP2", "functional": "PBE", "state": "relaxed", "cell": [[9.2315, -0.0077, -0.0046], [8.6380, 3.2565, -0.0046], [8.6380, 1.5705, 2.8528]], "species": ["P", "P", "Zn", "Tl"], "frac_coords": [[0.0103, 0.0103, 0.0103], [0.7229, 0.7229, 0.7229], [0.2630, 0.2630, 0.2630], [0.5038, 0.5038, 0.5038]], "de_polymorph_mev_per_atom": 33, "spacegroup": "R3m, No. 160"}


Record 19
{"formula": "SrCa2TeRh", "functional": "PBE", "state": "relaxed", "cell": [[-0.9983, 5.2661, 0.6029], [-3.1421, -0.0938, -4.3830], [-4.5665, -1.2435, 3.3002]], "species": ["Sr", "Rh", "Ca", "Ca", "Te"], "frac_coords": [[0.0000, 0.0000, 0.5000], [0.0000, 0.0000, 0.0000], [0.5000, 0.0000, 0.0000], [0.0000, 0.5000, 0.0000], [0.5000, 0.5000, 0.5000]], "spacegroup": "P4/mmm, No. 123", "raw_formation_energy_mev_per_atom": -602.4}


Record 20
{"formula": "Tl2CoPt", "functional": "PBE", "state": "relaxed", "cell": [[4.1275, 0.0000, 0.0000], [0.0000, 3.8455, 0.0209], [0.0000, 1.9324, 5.0964]], "species": ["Tl", "Tl", "Pt", "Co"], "frac_coords": [[0.5000, 0.2768, 0.3274], [0.0000, 0.9686, 0.9344], [0.5000, 0.5588, 0.7574], [0.0000, 0.6958, 0.4807]], "spacegroup": "Pm, No. 6", "total_energy_ev_per_atom": -4.21}


Record 21
{"formula": "LaTaGe2Os", "functional": "PBE", "state": "relaxed", "cell": [[4.1142, 0.0000, 0.0000], [0.0000, 4.1142, 0.0000], [-2.0571, -2.0571, 5.8560]], "species": ["Ge", "Ge", "Os", "Ta", "La"], "frac_coords": [[0.3863, 0.3863, 0.7725], [0.6137, 0.6137, 0.2275], [0.7500, 0.2500, 0.5000], [0.2500, 0.7500, 0.5000], [0.0000, 0.0000, 0.0000]], "spacegroup": "I-4m2, No. 119", "total_energy_ev_per_atom": -7.90}


Record 22
{"formula": "Sr2CaW", "functional": "PBE", "state": "relaxed", "cell": [[-4.6784, 4.1447, -2.4539], [-4.5630, 1.5525, -4.6751], [-5.6083, -2.0099, 2.0542]], "species": ["W", "Sr", "Sr", "Ca"], "frac_coords": [[0.5207, 0.5207, 0.5452], [0.9869, 0.9869, 0.0354], [0.7919, 0.7919, 0.6691], [0.2005, 0.2005, 0.2503]], "de_polymorph_mev_per_atom": 88, "spacegroup": "Cm, No. 8"}


Record 23
{"formula": "BaTlAuO3", "functional": "PBE", "state": "relaxed", "cell": [[-0.1536, 2.3335, -6.3077], [-5.8437, 2.4161, -2.2957], [-0.1419, 6.6823, -0.3388]], "species": ["O", "O", "O", "O", "O", "O", "Au", "Au", "Tl", "Tl", "Ba", "Ba"], "frac_coords": [[0.7228, 0.7228, 0.4378], [0.6921, 0.1531, 0.8471], [0.1531, 0.6921, 0.8471], [0.3079, 0.8469, 0.1529], [0.8469, 0.3079, 0.1529], [0.2772, 0.2772, 0.5622], [0.7269, 0.2731, 0.5000], [0.2731, 0.7269, 0.5000], [0.0788, 0.0788, 0.7427], [0.9212, 0.9212, 0.2573], [0.7104, 0.7104, 0.8616], [0.2896, 0.2896, 0.1384]], "spacegroup": "C2/m, No. 12", "raw_formation_energy_mev_per_atom": -972.9}